#P
## AlP3O9 (GGA-PBE)

Data for a relaxed structure of AlP3O9.

Summary:
Theoretical density: 2.77 Mg/m³
Space group: Cc, No. 9

Structure (POSCAR):
```
AlP3O9
1.0
6.5320 -3.1978 0.0000
6.5320 3.1978 0.0000
-5.5454 0.0000 7.5602
Al P O
2 6 18
direct
0.2419 0.7581 0.5000
0.7581 0.2419 0.0000
0.0327 0.2346 0.8217
0.2346 0.0327 0.3217
0.2735 0.4564 0.6763
0.4564 0.2735 0.1763
0.7039 0.7860 0.2420
0.7860 0.7039 0.7420
0.0758 0.1381 0.1717
0.1381 0.0758 0.6717
0.1527 0.9032 0.3404
0.2291 0.2923 0.0031
0.2923 0.2291 0.5031
0.3171 0.6202 0.6600
0.3700 0.4326 0.3360
0.4326 0.3700 0.8360
0.5049 0.8488 0.3076
0.5519 0.7404 0.5934
0.5825 0.9909 0.1568
0.6202 0.3171 0.1600
0.7404 0.5519 0.0934
0.7941 0.9216 0.9003
0.8488 0.5049 0.8076
0.9032 0.1527 0.8404
0.9216 0.7941 0.4003
0.9909 0.5825 0.6568
```

#Q
## AlP3O9 (GGA-PBE)

Data for a relaxed structure of AlP3O9.

Summary:
Theoretical density: 2.32 Mg/m³
Space group: P2_1/c, No. 14

Structure (POSCAR):
```
AlP3O9
1.0
6.1576 0.0000 0.0000
0.0000 15.2999 0.0000
-2.1538 0.0000 8.0172
Al P O
4 12 36
direct
0.1157 0.1375 0.3751
0.1157 0.3625 0.8751
0.8843 0.6375 0.1249
0.8843 0.8625 0.6249
0.1455 0.0440 0.7183
0.1455 0.4560 0.2183
0.2028 0.1636 0.0162
0.2028 0.3364 0.5162
0.4148 0.6129 0.2119
0.4148 0.8871 0.7119
0.5852 0.1129 0.2881
0.5852 0.3871 0.7881
0.7972 0.6636 0.4838
0.7972 0.8364 0.9838
0.8545 0.5440 0.7817
0.8545 0.9560 0.2817
0.0546 0.0152 0.3357
0.0546 0.4848 0.8357
0.0671 0.1548 0.1411
0.0671 0.3452 0.6411
0.1502 0.0780 0.9010
0.1502 0.4220 0.4010
0.1655 0.1197 0.6088
0.1655 0.3803 0.1088
0.1761 0.2426 0.9086
0.1761 0.2574 0.4086
0.1939 0.6579 0.1471
0.1939 0.8421 0.6471
0.3750 0.5123 0.2560
0.3750 0.9877 0.7560
0.4235 0.1150 0.3948
0.4235 0.3850 0.8948
0.4676 0.1525 0.1062
0.4676 0.3475 0.6062
0.5324 0.6525 0.3938
0.5324 0.8475 0.8938
0.5765 0.6150 0.1052
0.5765 0.8850 0.6052
0.6250 0.0123 0.2440
0.6250 0.4877 0.7440
0.8061 0.1579 0.3529
0.8061 0.3421 0.8529
0.8239 0.7426 0.5914
0.8239 0.7574 0.0914
0.8345 0.6197 0.8912
0.8345 0.8803 0.3912
0.8498 0.5780 0.5990
0.8498 0.9220 0.0990
0.9329 0.6548 0.3589
0.9329 0.8452 0.8589
0.9454 0.5152 0.1643
0.9454 0.9848 0.6643
```

#R
## AlP3O9 (GGA-PBE)

Data for a relaxed structure of AlP3O9.

Summary:
Theoretical density: 2.59 Mg/m³
Space group: I-43d, No. 220

Structure (POSCAR):
```
AlP3O9
1.0
-6.9657 6.9657 6.9657
6.9657 -6.9657 6.9657
6.9657 6.9657 -6.9657
Al P O
8 24 72
direct
0.0000 0.2117 0.5000
0.0000 0.7117 0.5000
0.2117 0.5000 0.0000
0.2883 0.2883 0.2883
0.5000 0.0000 0.2117
0.5000 0.0000 0.7117
0.7117 0.5000 0.0000
0.7883 0.7883 0.7883
0.0488 0.3309 0.1191
0.0703 0.9512 0.7821
0.1191 0.0488 0.3309
0.1691 0.2179 0.7882
0.2118 0.8809 0.4297
0.2179 0.7882 0.1691
0.2821 0.4512 0.5703
0.2882 0.7179 0.6691
0.3309 0.1191 0.0488
0.3809 0.7118 0.9297
0.4297 0.2118 0.8809
0.4512 0.5703 0.2821
0.5488 0.6191 0.8309
0.5703 0.2821 0.4512
0.6191 0.8309 0.5488
0.6691 0.2882 0.7179
0.7118 0.9297 0.3809
0.7179 0.6691 0.2882
0.7821 0.0703 0.9512
0.7882 0.1691 0.2179
0.8309 0.5488 0.6191
0.8809 0.4297 0.2118
0.9297 0.3809 0.7118
0.9512 0.7821 0.0703
0.0105 0.4150 0.2208
0.0434 0.4266 0.8450
0.0707 0.8796 0.6547
0.0734 0.1168 0.4183
0.0817 0.1984 0.6550
0.0840 0.8089 0.4293
0.0850 0.0955 0.8059
0.0955 0.8059 0.0850
0.1168 0.4183 0.0734
0.1204 0.2752 0.1911
0.1547 0.3796 0.5707
0.1550 0.6984 0.5817
0.1911 0.1204 0.2752
0.1941 0.7792 0.2896
0.1984 0.6550 0.0817
0.2104 0.9895 0.9045
0.2208 0.0105 0.4150
0.2248 0.3453 0.9160
0.2752 0.1911 0.1204
0.2792 0.6941 0.7896
0.2896 0.1941 0.7792
0.3016 0.3832 0.4566
0.3059 0.5955 0.5850
0.3089 0.5840 0.9293
0.3453 0.9160 0.2248
0.3450 0.9266 0.5434
0.3796 0.5707 0.1547
0.3832 0.4566 0.3016
0.4045 0.4895 0.7104
0.4150 0.2208 0.0105
0.4160 0.8453 0.7248
0.4183 0.0734 0.1168
0.4266 0.8450 0.0434
0.4293 0.0840 0.8089
0.4566 0.3016 0.3832
0.4895 0.7104 0.4045
0.5105 0.7208 0.9150
0.5434 0.3450 0.9266
0.5707 0.1547 0.3796
0.5734 0.9183 0.6168
0.5817 0.1550 0.6984
0.5840 0.9293 0.3089
0.5850 0.3059 0.5955
0.5955 0.5850 0.3059
0.6168 0.5734 0.9183
0.6204 0.6911 0.7752
0.6547 0.0707 0.8796
0.6550 0.0817 0.1984
0.6911 0.7752 0.6204
0.6941 0.7896 0.2792
0.6984 0.5817 0.1550
0.7104 0.4045 0.4895
0.7208 0.9150 0.5105
0.7248 0.4160 0.8453
0.7752 0.6204 0.6911
0.7792 0.2896 0.1941
0.7896 0.2792 0.6941
0.8016 0.9566 0.8832
0.8059 0.0850 0.0955
0.8089 0.4293 0.0840
0.8450 0.0434 0.4266
0.8453 0.7248 0.4160
0.8796 0.6547 0.0707
0.8832 0.8016 0.9566
0.9045 0.2104 0.9895
0.9150 0.5105 0.7208
0.9160 0.2248 0.3453
0.9183 0.6168 0.5734
0.9266 0.5434 0.3450
0.9293 0.3089 0.5840
0.9566 0.8832 0.8016
0.9895 0.9045 0.2104
```

Name the least stable of them. #P.

#P
## Al2PO (GGA-PBE)

Data for a relaxed structure of Al2PO.

Summary:
Theoretical density: 2.74 Mg/m³
Space group: I-42d, No. 122

Structure (POSCAR):
```
Al2PO
1.0
-2.4203 2.4203 5.2240
2.4203 -2.4203 5.2240
2.4203 2.4203 -5.2240
Al P O
4 2 2
direct
0.0562 0.6250 0.9312
0.3750 0.3062 0.4312
0.6938 0.1250 0.0688
0.8750 0.9438 0.5688
0.2500 0.7500 0.5000
0.5000 0.5000 0.0000
0.0000 0.0000 0.0000
0.7500 0.2500 0.5000
```

#Q
## Al2PO (GGA-PBE)

Data for a relaxed structure of Al2PO.

Summary:
Theoretical density: 3.33 Mg/m³
Space group: Fm-3m, No. 225

Structure (POSCAR):
```
Al2PO
1.0
0.0000 2.9301 2.9301
2.9301 0.0000 2.9301
2.9301 2.9301 0.0000
Al P O
2 1 1
direct
0.2500 0.2500 0.2500
0.7500 0.7500 0.7500
0.0000 0.0000 0.0000
0.5000 0.5000 0.5000
```

Name the least stable of them. #Q.

#P
## AlP2O2 (GGA-PBE)

Data for a relaxed structure of AlP2O2.

Summary:
Theoretical density: 3.43 Mg/m³
Space group: P4/mmm, No. 123

Structure (POSCAR):
```
AlP2O2
1.0
3.5177 0.0000 0.0000
0.0000 3.5177 0.0000
0.0000 0.0000 4.7276
Al P O
1 2 2
direct
0.0000 0.0000 0.0000
0.5000 0.5000 0.0000
0.5000 0.5000 0.5000
0.0000 0.5000 0.5000
0.5000 0.0000 0.5000
```

#Q
## AlP2O2 (GGA-PBE)

Data for a relaxed structure of AlP2O2.

Summary:
Theoretical density: 2.66 Mg/m³
Space group: P4/mmm, No. 123

Structure (POSCAR):
```
AlP2O2
1.0
4.7066 0.0000 0.0000
0.0000 4.7066 0.0000
0.0000 0.0000 3.4030
Al P O
1 2 2
direct
0.0000 0.0000 0.0000
0.0000 0.5000 0.0000
0.5000 0.0000 0.0000
0.0000 0.0000 0.5000
0.5000 0.5000 0.5000
```

Name the least stable of them. #Q.